1.
DFT (GGA-PBE) results for LiHgTe2 after structural relaxation.

a b c (Å): 3.1747 3.1747 11.2623
angles (deg): 90.00 90.00 90.32
Atoms (fractional coordinates):
Li: 0.5000 0.5000 0.7500
Te: 0.0000 0.0000 0.5601
Te: 0.0000 0.0000 0.9399
Hg: 0.5000 0.5000 0.2500

## Properties
M_tot: 0.00 μB/cell
calculated density: 6.8 g cm⁻³
formation energy (no corrections): -306 meV/atom


2.
DFT (GGA-PBE) results for Li2HgTe after structural relaxation.

a b c (Å): 4.4811 4.4811 7.4118
angles (deg): 72.40 72.40 60.00
Atoms (fractional coordinates):
Li: 0.0497 0.0497 0.8509
Li: 0.2962 0.2962 0.1115
Hg: 0.4831 0.4831 0.5506
Te: 0.6710 0.6710 0.9871

## Properties
M_tot: 0.00 μB/cell
calculated density: 4.7 g cm⁻³
formation energy (no corrections): -633 meV/atom
energy relative to the lowest polymorph listed for this composition: 1.53 kJ/mol of atoms


3.
DFT (GGA-PBE) results for LiHgTe2 after structural relaxation.

a b c (Å): 5.2220 5.2220 4.0817
angles (deg): 90.00 90.00 107.17
Atoms (fractional coordinates):
Te: 0.5000 0.5000 0.0000
Te: 0.0000 0.0000 0.0000
Hg: 0.5000 0.0000 0.5000
Li: 0.0000 0.5000 0.5000

## Properties
M_tot: 0.00 μB/cell
calculated density: 7.2 g cm⁻³
formation energy (no corrections): -191 meV/atom


4.
DFT (GGA-PBE) results for LiHgTe2 after structural relaxation.

a b c (Å): 5.9714 6.1682 13.2475
angles (deg): 60.04 90.00 90.00
Atoms (fractional coordinates):
Hg: 0.7499 0.9893 0.1203
Hg: 0.7499 0.5107 0.3797
Hg: 0.2501 0.4893 0.6203
Hg: 0.2501 0.0107 0.8797
Te: 0.2500 0.5096 0.8832
Te: 0.7501 0.5076 0.6333
Te: 0.7501 0.9924 0.8667
Te: 0.2500 0.9904 0.6168
Te: 0.2499 0.4924 0.3667
Te: 0.7500 0.4904 0.1168
Te: 0.7500 0.0096 0.3832
Te: 0.2499 0.0076 0.1333
Li: 0.2499 0.5138 0.1233
Li: 0.2499 0.9862 0.3767
Li: 0.7501 0.0138 0.6233
Li: 0.7501 0.4862 0.8767

## Properties
M_tot: 0.00 μB/cell
calculated density: 7.3 g cm⁻³
formation energy (no corrections): -325 meV/atom


5.
DFT (GGA-PBE) results for Li2HgTe after structural relaxation.

a b c (Å): 4.1003 4.1039 5.5401
angles (deg): 90.00 90.00 90.00
Atoms (fractional coordinates):
Li: 0.0000 0.0000 0.9460
Li: 0.5000 0.5000 0.3059
Hg: 0.5000 0.5000 0.8082
Te: 0.0000 0.0000 0.4400

## Properties
M_tot: 0.00 μB/cell
calculated density: 6.1 g cm⁻³
formation energy (no corrections): -574 meV/atom
energy relative to the lowest polymorph listed for this composition: 7.24 kJ/mol of atoms


6.
DFT (GGA-PBE) results for LiHg2Te after structural relaxation.

a b c (Å): 5.6918 5.6918 5.6918
angles (deg): 131.70 131.70 70.70
Atoms (fractional coordinates):
Te: 0.7500 0.2500 0.5000
Li: 0.5000 0.5000 0.0000
Hg: 0.2500 0.7500 0.5000
Hg: 0.0000 0.0000 0.0000

## Properties
M_tot: 0.00 μB/cell
calculated density: 8.8 g cm⁻³
formation energy (no corrections): -189 meV/atom


7.
DFT (GGA-PBE) results for LiHgTe2 after structural relaxation.

a b c (Å): 5.9101 3.2534 5.5617
angles (deg): 89.98 90.00 90.00
Atoms (fractional coordinates):
Te: 0.5000 0.3183 0.3734
Te: 0.0000 0.8124 0.8747
Hg: 0.0000 0.4895 0.3750
Li: 0.5000 0.8797 0.8768

## Properties
M_tot: 0.00 μB/cell
calculated density: 7.2 g cm⁻³
formation energy (no corrections): -327 meV/atom


8.
DFT (GGA-PBE) results for Li2HgTe2 after structural relaxation.

a b c (Å): 6.8680 6.6783 12.2569
angles (deg): 90.00 92.75 90.00
Atoms (fractional coordinates):
Hg: 0.0704 0.8197 0.6798
Hg: 0.5704 0.6803 0.6798
Hg: 0.9296 0.1803 0.3202
Hg: 0.4296 0.3197 0.3202
Li: 0.5048 0.2587 0.0115
Li: 0.9954 0.2655 0.7473
Li: 0.5046 0.7655 0.2527
Li: 0.9952 0.7587 0.9885
Li: 0.0046 0.7345 0.2527
Li: 0.0048 0.2413 0.0115
Li: 0.4954 0.2345 0.7473
Li: 0.4952 0.7413 0.9885
Te: 0.7366 0.0254 0.6001
Te: 0.2451 0.0126 0.8778
Te: 0.7549 0.9874 0.1222
Te: 0.7451 0.4874 0.8778
Te: 0.2549 0.5127 0.1222
Te: 0.2634 0.9746 0.3999
Te: 0.2366 0.4746 0.6001
Te: 0.7634 0.5254 0.3999

## Properties
M_tot: 0.00 μB/cell
calculated density: 5.6 g cm⁻³
formation energy (no corrections): -624 meV/atom
energy relative to the lowest polymorph listed for this composition: 0.00 kJ/mol of atoms


9.
DFT (GGA-PBE) results for LiHg2Te after structural relaxation.

a b c (Å): 6.1190 6.1190 6.1190
angles (deg): 138.82 138.82 59.65
Atoms (fractional coordinates):
Li: 0.2500 0.7500 0.5000
Hg: 0.0000 0.0000 0.0000
Hg: 0.5000 0.5000 0.0000
Te: 0.7500 0.2500 0.5000

## Properties
M_tot: 0.00 μB/cell
calculated density: 9.0 g cm⁻³
formation energy (no corrections): -247 meV/atom


10.
DFT (GGA-PBE) results for LiHgTe4 after structural relaxation.

a b c (Å): 6.4824 6.4824 6.4824
angles (deg): 60.00 60.00 60.00
Atoms (fractional coordinates):
Te: 0.3756 0.3756 0.3756
Te: 0.3756 0.8733 0.3756
Te: 0.3756 0.3756 0.8733
Te: 0.8733 0.3756 0.3756
Li: 0.0000 0.0000 0.0000
Hg: 0.7500 0.7500 0.7500

## Properties
M_tot: 0.00 μB/cell
calculated density: 6.2 g cm⁻³
formation energy (no corrections): 61 meV/atom


11.
DFT (GGA-PBE) results for LiHg2Te after structural relaxation.

a b c (Å): 5.4164 4.3393 4.3392
angles (deg): 88.08 90.00 90.00
Atoms (fractional coordinates):
Hg: 0.0000 0.0117 0.0115
Hg: 0.0000 0.4883 0.4885
Te: 0.5000 0.7500 0.7500
Li: 0.5000 0.2500 0.2500

## Properties
M_tot: 0.00 μB/cell
calculated density: 8.7 g cm⁻³
formation energy (no corrections): -311 meV/atom


12.
DFT (GGA-PBE) results for LiHg2Te after structural relaxation.

a b c (Å): 5.3387 5.3387 5.3387
angles (deg): 128.64 109.92 92.00
Atoms (fractional coordinates):
Hg: 0.9847 0.9847 0.0000
Hg: 0.7311 0.2311 0.5000
Te: 0.2766 0.7766 0.5000
Li: 0.5076 0.5076 0.0000

## Properties
M_tot: 0.00 μB/cell
calculated density: 8.5 g cm⁻³
formation energy (no corrections): -228 meV/atom


13.
DFT (GGA-PBE) results for LiHgTe2 after structural relaxation.

a b c (Å): 5.3911 4.5230 4.5230
angles (deg): 90.00 90.00 90.00
Atoms (fractional coordinates):
Te: 0.0000 0.0000 0.0000
Te: 0.0000 0.5000 0.5000
Li: 0.5000 0.0000 0.5000
Hg: 0.5000 0.5000 0.0000

## Properties
M_tot: 0.00 μB/cell
calculated density: 7.0 g cm⁻³
formation energy (no corrections): -177 meV/atom


14.
DFT (GGA-PBE) results for LiHgTe2 after structural relaxation.

a b c (Å): 7.5489 7.5489 4.4917
angles (deg): 92.60 92.60 26.55
Atoms (fractional coordinates):
Te: 0.2736 0.2736 0.2910
Te: 0.0548 0.0548 0.9505
Li: 0.7140 0.7140 0.7777
Hg: 0.4576 0.4576 0.4808

## Properties
M_tot: 0.00 μB/cell
calculated density: 6.7 g cm⁻³
formation energy (no corrections): -293 meV/atom